! Tm2Ga4PdPt3, relaxed, DFT PBE; values from VASP
! **D(E_F)**: 5.9 states/eV/cell
! **V**: 184.0 Å³/cell
! **DFT formation energy**: -0.91 eV/atom
! **M_tot**: 0.0 μB per cell
&SYSTEM
  ibrav = 0, nat = 10, ntyp = 4
/
ATOMIC_SPECIES
Tm 168.93 Tm.upf
Ga 69.72 Ga.upf
Pd 106.42 Pd.upf
Pt 195.08 Pt.upf
ATOMIC_POSITIONS crystal
Tm 0.500 0.000 0.248
Tm 0.000 0.500 0.752
Ga 0.500 0.500 0.000
Ga 0.000 0.000 0.000
Ga 0.500 0.000 0.635
Ga 0.000 0.500 0.365
Pd 0.500 0.500 0.500
Pt 0.000 0.000 0.500
Pt 0.500 0.000 0.853
Pt 0.000 0.500 0.147
CELL_PARAMETERS angstrom
4.037 0.000 0.000
0.000 4.037 0.000
0.000 0.000 11.289


! TmGa3PdPt, relaxed, DFT PBE; values from VASP
! **D(E_F)**: 4.7 states/eV/cell
! **V**: 220.8 Å³/cell
! **DFT formation energy**: -0.57 eV/atom
! **M_tot**: 0.0 μB per cell
&SYSTEM
  ibrav = 0, nat = 12, ntyp = 4
/
ATOMIC_SPECIES
Tm 168.93 Tm.upf
Ga 69.72 Ga.upf
Pd 106.42 Pd.upf
Pt 195.08 Pt.upf
ATOMIC_POSITIONS crystal
Tm 0.750 0.298 0.596
Tm 0.250 0.702 0.404
Ga 0.250 0.145 0.291
Ga 0.000 0.286 0.000
Ga 0.500 0.714 0.000
Ga 0.500 0.286 0.000
Ga 0.000 0.714 0.000
Ga 0.750 0.855 0.709
Pd 0.250 0.344 0.687
Pd 0.750 0.656 0.313
Pt 0.250 0.906 0.812
Pt 0.750 0.094 0.188
CELL_PARAMETERS angstrom
5.740 0.000 0.000
0.000 5.869 0.000
0.000 -2.935 6.554


! Tm2Ga4Pd3Pt, relaxed, DFT PBE; values from VASP
! **D(E_F)**: 6.2 states/eV/cell
! **V**: 183.3 Å³/cell
! **DFT formation energy**: -0.80 eV/atom
! **M_tot**: 0.0 μB per cell
&SYSTEM
  ibrav = 0, nat = 10, ntyp = 4
/
ATOMIC_SPECIES
Tm 168.93 Tm.upf
Ga 69.72 Ga.upf
Pd 106.42 Pd.upf
Pt 195.08 Pt.upf
ATOMIC_POSITIONS crystal
Tm 0.500 0.000 0.252
Tm 0.000 0.500 0.748
Ga 0.500 0.500 0.000
Ga 0.000 0.000 0.000
Ga 0.500 0.000 0.635
Ga 0.000 0.500 0.365
Pd 0.000 0.000 0.500
Pd 0.500 0.000 0.853
Pd 0.000 0.500 0.147
Pt 0.500 0.500 0.500
CELL_PARAMETERS angstrom
4.022 0.000 0.000
0.000 4.022 0.000
0.000 0.000 11.336


! TmGaPdPt, relaxed, DFT PBE; values from VASP
! **D(E_F)**: 3.1 states/eV/cell
! **V**: 70.8 Å³/cell
! **DFT formation energy**: -0.92 eV/atom
! **M_tot**: 0.0 μB per cell
&SYSTEM
  ibrav = 0, nat = 4, ntyp = 4
/
ATOMIC_SPECIES
Ga 69.72 Ga.upf
Tm 168.93 Tm.upf
Pd 106.42 Pd.upf
Pt 195.08 Pt.upf
ATOMIC_POSITIONS crystal
Ga 0.500 0.500 0.500
Tm 0.000 0.000 0.000
Pd 0.250 0.250 0.250
Pt 0.750 0.750 0.750
CELL_PARAMETERS angstrom
-3.266 3.291 0.273
-3.185 -0.163 3.376
0.115 3.105 3.452


Please write out number 3 again, unchanged.
! Tm2Ga4Pd3Pt, relaxed, DFT PBE; values from VASP
! **D(E_F)**: 6.2 states/eV/cell
! **V**: 183.3 Å³/cell
! **DFT formation energy**: -0.80 eV/atom
! **M_tot**: 0.0 μB per cell
&SYSTEM
  ibrav = 0, nat = 10, ntyp = 4
/
ATOMIC_SPECIES
Tm 168.93 Tm.upf
Ga 69.72 Ga.upf
Pd 106.42 Pd.upf
Pt 195.08 Pt.upf
ATOMIC_POSITIONS crystal
Tm 0.500 0.000 0.252
Tm 0.000 0.500 0.748
Ga 0.500 0.500 0.000
Ga 0.000 0.000 0.000
Ga 0.500 0.000 0.635
Ga 0.000 0.500 0.365
Pd 0.000 0.000 0.500
Pd 0.500 0.000 0.853
Pd 0.000 0.500 0.147
Pt 0.500 0.500 0.500
CELL_PARAMETERS angstrom
4.022 0.000 0.000
0.000 4.022 0.000
0.000 0.000 11.336


Please write out number 1 again, unchanged.
! Tm2Ga4PdPt3, relaxed, DFT PBE; values from VASP
! **D(E_F)**: 5.9 states/eV/cell
! **V**: 184.0 Å³/cell
! **DFT formation energy**: -0.91 eV/atom
! **M_tot**: 0.0 μB per cell
&SYSTEM
  ibrav = 0, nat = 10, ntyp = 4
/
ATOMIC_SPECIES
Tm 168.93 Tm.upf
Ga 69.72 Ga.upf
Pd 106.42 Pd.upf
Pt 195.08 Pt.upf
ATOMIC_POSITIONS crystal
Tm 0.500 0.000 0.248
Tm 0.000 0.500 0.752
Ga 0.500 0.500 0.000
Ga 0.000 0.000 0.000
Ga 0.500 0.000 0.635
Ga 0.000 0.500 0.365
Pd 0.500 0.500 0.500
Pt 0.000 0.000 0.500
Pt 0.500 0.000 0.853
Pt 0.000 0.500 0.147
CELL_PARAMETERS angstrom
4.037 0.000 0.000
0.000 4.037 0.000
0.000 0.000 11.289


What did the second record say?
! TmGa3PdPt, relaxed, DFT PBE; values from VASP
! **D(E_F)**: 4.7 states/eV/cell
! **V**: 220.8 Å³/cell
! **DFT formation energy**: -0.57 eV/atom
! **M_tot**: 0.0 μB per cell
&SYSTEM
  ibrav = 0, nat = 12, ntyp = 4
/
ATOMIC_SPECIES
Tm 168.93 Tm.upf
Ga 69.72 Ga.upf
Pd 106.42 Pd.upf
Pt 195.08 Pt.upf
ATOMIC_POSITIONS crystal
Tm 0.750 0.298 0.596
Tm 0.250 0.702 0.404
Ga 0.250 0.145 0.291
Ga 0.000 0.286 0.000
Ga 0.500 0.714 0.000
Ga 0.500 0.286 0.000
Ga 0.000 0.714 0.000
Ga 0.750 0.855 0.709
Pd 0.250 0.344 0.687
Pd 0.750 0.656 0.313
Pt 0.250 0.906 0.812
Pt 0.750 0.094 0.188
CELL_PARAMETERS angstrom
5.740 0.000 0.000
0.000 5.869 0.000
0.000 -2.935 6.554


Q: Among the records above, which one has the highest D(E_F)?
A: Tm2Ga4Pd3Pt